1.
Crystalline CeTh3TcHg at its relaxed geometry. Source: Alexandria via LeMat-Bulk, functional PBE.

```
CeTh3TcHg
1.0
-0.4973 4.5576 -0.9703
-4.9368 -1.7259 -5.5763
-4.5544 1.2796 8.3445
Ce Th Tc Hg
2 6 2 2
direct
0.2500 0.0865 0.5984
0.7500 0.9135 0.4016
0.7500 0.8928 0.0753
0.2500 0.1072 0.9247
0.2500 0.6232 0.4502
0.7500 0.3767 0.5498
0.7500 0.4443 0.1368
0.2500 0.5557 0.8632
0.2500 0.7249 0.1894
0.7500 0.2751 0.8106
0.2500 0.1692 0.2833
0.7500 0.8308 0.7167
```

Computed properties:
The theoretical density comes out at 11.7 g cm⁻³. As for the volume: 26.739 Å³ per atom. The density of states at the Fermi level is 15.06 states/eV per cell. The formation energy is -109 meV per atom.

=====

2.
Crystalline CeTmTcHg at its relaxed geometry. Source: Alexandria via LeMat-Bulk, functional PBE.

```
CeTmTcHg
1.0
-3.1112 -3.5512 1.8076
0.8613 -4.8750 -1.0254
1.5724 -3.1133 3.6596
Tm Hg Ce Tc
1 1 1 1
direct
0.2500 0.2500 0.2500
0.0000 0.0000 0.0000
0.7500 0.7500 0.7500
0.5000 0.5000 0.5000
```

Computed properties:
The theoretical density comes out at 11.0 g cm⁻³. As for the volume: 22.842 Å³ per atom. The density of states at the Fermi level is 5.32 states/eV per cell. The formation energy is -118 meV per atom.

=====

3.
Crystalline Ce2HgTe at its relaxed geometry. Source: Alexandria via LeMat-Bulk, functional PBE.

```
Ce2HgTe
1.0
4.3714 0.0000 0.0000
2.1857 3.7857 0.0000
2.1857 1.2619 7.7151
Te Hg Ce
1 1 2
direct
0.5000 0.5000 0.5000
0.0000 0.0000 0.0000
0.2487 0.2487 0.2538
0.7513 0.7513 0.7462
```

Computed properties:
The theoretical density comes out at 7.9 g cm⁻³. As for the volume: 31.919 Å³ per atom. The density of states at the Fermi level is 16.13 states/eV per cell. The calculation puts the energy relative to the lowest polymorph listed for this composition at 0 meV per atom.

=====

4.
Crystalline Ce2HgTe at its relaxed geometry. Source: Alexandria via LeMat-Bulk, functional PBE.

```
Ce2HgTe
1.0
3.8002 0.0000 0.0000
0.0000 3.8002 0.0000
0.0000 0.0000 7.8831
Te Hg Ce
1 1 2
direct
0.5000 0.5000 0.0000
0.5000 0.5000 0.5000
0.0000 0.0000 0.7578
0.0000 0.0000 0.2422
```

Computed properties:
The theoretical density comes out at 8.9 g cm⁻³. As for the volume: 28.461 Å³ per atom. The density of states at the Fermi level is 13.97 states/eV per cell. The calculation puts the energy relative to the lowest polymorph listed for this composition at 0 meV per atom.

=====

5.
Crystalline CeHg2Te at its relaxed geometry. Source: Alexandria via LeMat-Bulk, functional PBE.

```
CeHg2Te
1.0
3.3661 0.0000 0.0000
1.6830 2.9151 0.0000
1.6830 0.9717 12.1159
Te Hg Ce
1 2 1
direct
0.5000 0.5000 0.5000
0.0863 0.0863 0.7410
0.9137 0.9137 0.2590
0.0000 0.0000 0.0000
```

Computed properties:
The theoretical density comes out at 9.3 g cm⁻³. As for the volume: 29.722 Å³ per atom. The density of states at the Fermi level is 5.82 states/eV per cell. The calculation puts the energy relative to the lowest polymorph listed for this composition at 750 meV per atom.

=====

6.
Crystalline Ce3Hg2Te at its relaxed geometry. Source: Alexandria via LeMat-Bulk, functional PBE.

```
Ce3Hg2Te
1.0
-2.8301 0.5195 2.5530
-3.1859 -3.1139 -2.8980
5.2257 -13.2457 8.4880
Ce Hg Te
6 4 2
direct
0.4999 0.5000 0.6572
0.4998 0.0000 0.5000
0.4999 0.5000 0.3428
0.5001 0.0000 0.1572
0.5002 0.5000 0.0000
0.5001 0.0000 0.8428
0.0000 0.0000 0.6824
0.0000 0.0000 0.3176
0.0000 0.5000 0.1824
0.0000 0.5000 0.8176
0.9998 0.5000 0.5000
0.0002 0.0000 0.0000
```

Computed properties:
The theoretical density comes out at 9.3 g cm⁻³. The calculation puts the calculated total energy at -4.18 eV/atom. As for the volume: 28.241 Å³ per atom. The density of states at the Fermi level is 42.74 states/eV per cell.

=====

7.
Crystalline Ce2HgTe at its relaxed geometry. Source: Alexandria via LeMat-Bulk, functional PBE.

```
Ce2HgTe
1.0
-1.8736 0.0298 -3.7155
-1.1626 -3.5808 -1.7727
-8.5501 -0.6203 1.9763
Ce Hg Te
2 1 1
direct
0.0802 0.0802 0.7595
0.2534 0.2534 0.2398
0.4993 0.4993 0.5020
0.6671 0.6671 0.9986
```

Computed properties:
The theoretical density comes out at 8.0 g cm⁻³. As for the volume: 31.728 Å³ per atom. The density of states at the Fermi level is 14.82 states/eV per cell. The calculation puts the energy relative to the lowest polymorph listed for this composition at 42 meV per atom.

=====

8.
Crystalline Ce2HgTe at its relaxed geometry. Source: Alexandria via LeMat-Bulk, functional PBE.

```
Ce2HgTe
1.0
5.4206 0.0000 0.0000
2.7103 4.6944 0.0000
2.7103 1.5648 4.4259
Te Hg Ce
1 1 2
direct
0.5000 0.5000 0.5000
0.0000 0.0000 0.0000
0.2500 0.2500 0.2500
0.7500 0.7500 0.7500
```

Computed properties:
The theoretical density comes out at 9.0 g cm⁻³. As for the volume: 28.156 Å³ per atom. The density of states at the Fermi level is 14.53 states/eV per cell. The calculation puts the energy relative to the lowest polymorph listed for this composition at 67 meV per atom.

=====

| no. | total moment (Bohr magnetons per cell) |
| --- | --- |
| 1 | 0.0 |
| 2 | 0.0 |
| 3 | 2.3 |
| 4 | 3.4 |
| 5 | 1.5 |
| 6 | 8.4 |
| 7 | 2.4 |
| 8 | 3.4 |